No. 1
# ZrOsW2 GGA-PBE relaxed
data_ZrOsW2
_space_group_name_H-M_alt 'C m m m'
_space_group_IT_number 65
_space_group_name_Hall '-C 2 2'
_cell_length_a 5.3223
_cell_length_b 9.1038
_cell_length_c 2.8213
_cell_angle_alpha 90.00
_cell_angle_beta 90.00
_cell_angle_gamma 90.00
loop_
_atom_site_label
_atom_site_type_symbol
_atom_site_fract_x
_atom_site_fract_y
_atom_site_fract_z
Zr1 Zr 0.0000 0.0000 0.0000
Os1 Os 0.0000 0.5000 0.0000
W1 W 0.2500 0.2500 0.5000
# * uncorrected energy: -88.7 eV/cell
# * distance to the lowest polymorph of the same formula: 395 meV per atom
# * total magnetization: 0.00 μB/f.u.
# * ΔE_f: 32 kJ/mol of atoms

***

No. 2
# Zr2OsW GGA-PBE relaxed
data_Zr2OsW
_space_group_name_H-M_alt 'C 1 2/m 1'
_space_group_IT_number 12
_cell_length_a 10.3873
_cell_length_b 3.2599
_cell_length_c 4.7941
_cell_angle_alpha 90.00
_cell_angle_beta 117.33
_cell_angle_gamma 90.00
loop_
_space_group_symop_operation_xyz
'x,y,z'
'-x,-y,-z'
'-x,y,-z'
'x,-y,z'
'x+1/2,y+1/2,z'
'-x+1/2,-y+1/2,-z'
'-x+1/2,y+1/2,-z'
'x+1/2,-y+1/2,z'
loop_
_atom_site_label
_atom_site_type_symbol
_atom_site_fract_x
_atom_site_fract_y
_atom_site_fract_z
Zr1 Zr 0.2452 0.0000 0.2453
Os1 Os 0.0000 0.5000 0.0000
W1 W 0.0000 0.0000 0.5000
# * uncorrected energy: -82.5 eV/cell
# * total magnetization: 0.00 μB/f.u.
# * ΔE_f: 1 kJ/mol of atoms

***

No. 3
# ZrOs2W GGA-PBE relaxed
data_ZrOs2W
_space_group_name_H-M_alt 'P 4 m m'
_space_group_IT_number 99
_cell_length_a 3.2115
_cell_length_b 3.2115
_cell_length_c 6.4845
_cell_angle_alpha 90.00
_cell_angle_beta 90.00
_cell_angle_gamma 90.00
loop_
_space_group_symop_operation_xyz
'x,y,z'
'-y,x,z'
'-x,-y,z'
'y,-x,z'
'-x,y,z'
'y,x,z'
'x,-y,z'
'-y,-x,z'
loop_
_atom_site_label
_atom_site_type_symbol
_atom_site_fract_x
_atom_site_fract_y
_atom_site_fract_z
Zr1 Zr 0.0000 0.0000 0.0000
Os1 Os 0.0000 0.0000 0.5070
Os2 Os 0.5000 0.5000 0.2351
W1 W 0.5000 0.5000 0.7153
# * uncorrected energy: -43.2 eV/cell
# * total magnetization: 0.00 μB/f.u.
# * ΔE_f: 18 kJ/mol of atoms

***

No. 4
# ZrOsW2 GGA-PBE relaxed
data_ZrOsW2
_space_group_name_H-M_alt 'P m m m'
_space_group_IT_number 47
_cell_length_a 3.2027
_cell_length_b 4.5263
_cell_length_c 4.6454
_cell_angle_alpha 90.00
_cell_angle_beta 90.00
_cell_angle_gamma 90.00
loop_
_space_group_symop_operation_xyz
'x,y,z'
'-x,-y,-z'
'-x,-y,z'
'x,y,-z'
'x,-y,-z'
'-x,y,z'
'-x,y,-z'
'x,-y,z'
loop_
_atom_site_label
_atom_site_type_symbol
_atom_site_fract_x
_atom_site_fract_y
_atom_site_fract_z
Zr1 Zr 0.0000 0.0000 0.0000
Os1 Os 0.5000 0.5000 0.0000
W1 W 0.0000 0.5000 0.5000
W2 W 0.5000 0.0000 0.5000
# * uncorrected energy: -45.8 eV/cell
# * distance to the lowest polymorph of the same formula: 27 meV per atom
# * total magnetization: 0.00 μB/f.u.
# * ΔE_f: -4 kJ/mol of atoms

***

No. 5
# ZrOsW2 GGA-PBE relaxed
data_ZrOsW2
_space_group_name_H-M_alt 'C m m 2'
_space_group_IT_number 35
_cell_length_a 3.1961
_cell_length_b 4.6406
_cell_length_c 9.0940
_cell_angle_alpha 90.00
_cell_angle_beta 90.00
_cell_angle_gamma 90.00
loop_
_space_group_symop_operation_xyz
'x,y,z'
'-x,-y,z'
'-x,y,z'
'x,-y,z'
'x+1/2,y+1/2,z'
'-x+1/2,-y+1/2,z'
'-x+1/2,y+1/2,z'
'x+1/2,-y+1/2,z'
loop_
_atom_site_label
_atom_site_type_symbol
_atom_site_fract_x
_atom_site_fract_y
_atom_site_fract_z
Zr1 Zr 0.0000 0.0000 0.0000
Os1 Os 0.0000 0.5000 0.2554
W1 W 0.0000 0.0000 0.4912
W2 W 0.0000 0.5000 0.7318
# * uncorrected energy: -90.3 eV/cell
# * distance to the lowest polymorph of the same formula: 194 meV per atom
# * total magnetization: 0.00 μB/f.u.
# * ΔE_f: 13 kJ/mol of atoms

***

No. 6
# ZrOs2W GGA-PBE relaxed
data_ZrOs2W
_space_group_name_H-M_alt 'P 4/m m m'
_space_group_IT_number 123
_space_group_name_Hall '-P 4 2'
_cell_length_a 4.6446
_cell_length_b 4.6446
_cell_length_c 3.0551
_cell_angle_alpha 90.00
_cell_angle_beta 90.00
_cell_angle_gamma 90.00
loop_
_atom_site_label
_atom_site_type_symbol
_atom_site_fract_x
_atom_site_fract_y
_atom_site_fract_z
Zr1 Zr 0.0000 0.0000 0.0000
Os1 Os 0.0000 0.5000 0.5000
W1 W 0.5000 0.5000 0.0000
# * uncorrected energy: -44.0 eV/cell
# * total magnetization: 0.28 μB/f.u.
# * ΔE_f: 0 kJ/mol of atoms

***

No. 7
# ZrOsW2 GGA-PBE relaxed
data_ZrOsW2
_space_group_name_H-M_alt 'P 4/m m m'
_space_group_IT_number 123
_space_group_name_Hall '-P 4 2'
_cell_length_a 2.8657
_cell_length_b 2.8657
_cell_length_c 8.3947
_cell_angle_alpha 90.00
_cell_angle_beta 90.00
_cell_angle_gamma 90.00
loop_
_atom_site_label
_atom_site_type_symbol
_atom_site_fract_x
_atom_site_fract_y
_atom_site_fract_z
Zr1 Zr 0.0000 0.0000 0.0000
Os1 Os 0.0000 0.0000 0.5000
W1 W 0.5000 0.5000 0.2811
# * uncorrected energy: -45.0 eV/cell
# * distance to the lowest polymorph of the same formula: 236 meV per atom
# * total magnetization: 0.00 μB/f.u.
# * ΔE_f: 17 kJ/mol of atoms

***

No. 8
# ZrOsW2 GGA-PBE relaxed
data_ZrOsW2
_space_group_name_H-M_alt 'F -4 3 m'
_space_group_IT_number 216
_space_group_name_Hall 'F -4 2 3'
_cell_length_a 6.4502
_cell_length_b 6.4502
_cell_length_c 6.4502
_cell_angle_alpha 90.00
_cell_angle_beta 90.00
_cell_angle_gamma 90.00
loop_
_atom_site_label
_atom_site_type_symbol
_atom_site_fract_x
_atom_site_fract_y
_atom_site_fract_z
Zr1 Zr 0.0000 0.0000 0.0000
Os1 Os 0.2500 0.2500 0.7500
W1 W 0.0000 0.0000 0.5000
W2 W 0.2500 0.2500 0.2500
# * uncorrected energy: -183.8 eV/cell
# * distance to the lowest polymorph of the same formula: 0 meV per atom
# * total magnetization: 0.00 μB/f.u.
# * ΔE_f: -6 kJ/mol of atoms

***

No. 9
# ZrOsW2 GGA-PBE relaxed
data_ZrOsW2
_space_group_name_H-M_alt 'P 4/m m m'
_space_group_IT_number 123
_space_group_name_Hall '-P 4 2'
_cell_length_a 4.5751
_cell_length_b 4.5751
_cell_length_c 3.1963
_cell_angle_alpha 90.00
_cell_angle_beta 90.00
_cell_angle_gamma 90.00
loop_
_atom_site_label
_atom_site_type_symbol
_atom_site_fract_x
_atom_site_fract_y
_atom_site_fract_z
Zr1 Zr 0.0000 0.0000 0.0000
Os1 Os 0.5000 0.5000 0.0000
W1 W 0.0000 0.5000 0.5000
# * uncorrected energy: -45.1 eV/cell
# * distance to the lowest polymorph of the same formula: 206 meV per atom
# * total magnetization: 0.00 μB/f.u.
# * ΔE_f: 14 kJ/mol of atoms

***

No. 10
# ZrOsW2 GGA-PBE relaxed
data_ZrOsW2
_space_group_name_H-M_alt 'P 1 2/m 1'
_space_group_IT_number 10
_cell_length_a 2.8423
_cell_length_b 4.5677
_cell_length_c 5.2715
_cell_angle_alpha 90.00
_cell_angle_beta 101.06
_cell_angle_gamma 90.00
loop_
_space_group_symop_operation_xyz
'x,y,z'
'-x,-y,-z'
'-x,y,-z'
'x,-y,z'
loop_
_atom_site_label
_atom_site_type_symbol
_atom_site_fract_x
_atom_site_fract_y
_atom_site_fract_z
Zr1 Zr 0.0000 0.0000 0.0000
Os1 Os 0.5000 0.0000 0.5000
W1 W 0.2520 0.5000 0.7465
# * uncorrected energy: -45.3 eV/cell
# * distance to the lowest polymorph of the same formula: 149 meV per atom
# * total magnetization: 0.00 μB/f.u.
# * ΔE_f: 8 kJ/mol of atoms

***

No. 11
# ZrOs2W GGA-PBE relaxed
data_ZrOs2W
_space_group_name_H-M_alt 'R 3 m'
_space_group_IT_number 160
_space_group_name_Hall 'R 3 -2"'
_cell_length_a 2.8206
_cell_length_b 2.8206
_cell_length_c 28.9145
_cell_angle_alpha 90.00
_cell_angle_beta 90.00
_cell_angle_gamma 120.00
loop_
_atom_site_label
_atom_site_type_symbol
_atom_site_fract_x
_atom_site_fract_y
_atom_site_fract_z
Zr1 Zr 0.0000 0.0000 0.0000
Os1 Os 0.0000 0.0000 0.4954
Os2 Os 0.0000 0.0000 0.7556
W1 W 0.0000 0.0000 0.2399
# * uncorrected energy: -128.3 eV/cell
# * total magnetization: 0.00 μB/f.u.
# * ΔE_f: 28 kJ/mol of atoms

***

No. 12
# ZrOsW2 GGA-PBE relaxed
data_ZrOsW2
_space_group_name_H-M_alt 'I m m m'
_space_group_IT_number 71
_space_group_name_Hall '-I 2 2'
_cell_length_a 3.2104
_cell_length_b 4.5274
_cell_length_c 9.3126
_cell_angle_alpha 90.00
_cell_angle_beta 90.00
_cell_angle_gamma 90.00
loop_
_atom_site_label
_atom_site_type_symbol
_atom_site_fract_x
_atom_site_fract_y
_atom_site_fract_z
Zr1 Zr 0.0000 0.0000 0.0000
Os1 Os 0.0000 0.0000 0.5000
W1 W 0.0000 0.5000 0.2456
# * uncorrected energy: -91.4 eV/cell
# * distance to the lowest polymorph of the same formula: 57 meV per atom
# * total magnetization: 0.00 μB/f.u.
# * ΔE_f: -1 kJ/mol of atoms

***

- Number 10 is which compound?
  ZrOsW2

***

Repeat the third record exactly.
# ZrOs2W GGA-PBE relaxed
data_ZrOs2W
_space_group_name_H-M_alt 'P 4 m m'
_space_group_IT_number 99
_cell_length_a 3.2115
_cell_length_b 3.2115
_cell_length_c 6.4845
_cell_angle_alpha 90.00
_cell_angle_beta 90.00
_cell_angle_gamma 90.00
loop_
_space_group_symop_operation_xyz
'x,y,z'
'-y,x,z'
'-x,-y,z'
'y,-x,z'
'-x,y,z'
'y,x,z'
'x,-y,z'
'-y,-x,z'
loop_
_atom_site_label
_atom_site_type_symbol
_atom_site_fract_x
_atom_site_fract_y
_atom_site_fract_z
Zr1 Zr 0.0000 0.0000 0.0000
Os1 Os 0.0000 0.0000 0.5070
Os2 Os 0.5000 0.5000 0.2351
W1 W 0.5000 0.5000 0.7153
# * uncorrected energy: -43.2 eV/cell
# * total magnetization: 0.00 μB/f.u.
# * ΔE_f: 18 kJ/mol of atoms